Entry 1:
Crystalline Rb2MnBiPb at its relaxed geometry. Source: Alexandria, functional PBE.

Calculated values
Electronic total energy = -3.27 eV/atom
Total moment = 5.0 μB per formula unit

Lattice parameters (Å, degrees): 6.823 6.823 5.095 90.00 90.00 90.00
Fractional coordinates of all 5 atoms:
Rb 0.000 0.500 0.000
Rb 0.500 0.000 0.000
Mn 0.000 0.000 0.000
Bi 0.000 0.000 0.500
Pb 0.500 0.500 0.500

=====

Entry 2:
Crystalline MnReBi2Pb at its relaxed geometry. Source: Alexandria, functional PBE.

Calculated values
Electronic total energy = -5.57 eV/atom
Total moment = 2.9 μB per formula unit

Lattice parameters (Å, degrees): 5.278 5.278 4.598 90.00 90.00 90.00
Fractional coordinates of all 5 atoms:
Mn 0.000 0.000 0.000
Re 0.000 0.000 0.500
Bi 0.000 0.500 0.000
Bi 0.500 0.000 0.000
Pb 0.500 0.500 0.500

=====

Entry 3:
Crystalline MnBiPb2S5 at its relaxed geometry. Source: Alexandria, functional PBE.

Calculated values
Electronic total energy = -4.99 eV/atom
Total moment = 4.0 μB per formula unit
Energy relative to the elements, uncorrected = -0.425 eV/atom

Lattice parameters (Å, degrees): 9.140 9.140 12.410 90.00 90.00 154.43
Fractional coordinates of all 18 atoms:
Mn 0.047 0.953 0.500
Mn 0.953 0.047 0.000
Bi 0.301 0.699 0.110
Bi 0.699 0.301 0.610
Pb 0.374 0.626 0.760
Pb 0.383 0.617 0.413
Pb 0.617 0.383 0.913
Pb 0.626 0.374 0.260
S 0.012 0.988 0.841
S 0.152 0.848 0.093
S 0.171 0.829 0.447
S 0.210 0.790 0.763
S 0.477 0.523 0.082
S 0.523 0.477 0.582
S 0.790 0.210 0.263
S 0.829 0.171 0.947
S 0.848 0.152 0.593
S 0.988 0.012 0.341

=====

Entry 4:
Crystalline ScMnBiPb2 at its relaxed geometry. Source: Alexandria, functional PBE.

Calculated values
Electronic total energy = -4.19 eV/atom
Total moment = 0.0 μB per formula unit

Lattice parameters (Å, degrees): 5.939 5.939 4.813 90.00 90.00 90.00
Fractional coordinates of all 5 atoms:
Sc 0.000 0.000 0.000
Mn 0.500 0.500 0.000
Bi 0.500 0.500 0.500
Pb 0.000 0.500 0.500
Pb 0.500 0.000 0.500

=====

Entry 5:
Crystalline MnBiPb2Se5 at its relaxed geometry. Source: Alexandria, functional PBE.

Calculated values
Electronic total energy = -4.62 eV/atom
Total moment = 4.0 μB per formula unit
Energy relative to the elements, uncorrected = -0.411 eV/atom

Lattice parameters (Å, degrees): 9.531 9.531 12.909 90.00 90.00 154.62
Fractional coordinates of all 18 atoms:
Mn 0.049 0.951 0.500
Mn 0.951 0.049 0.000
Bi 0.302 0.698 0.115
Bi 0.698 0.302 0.615
Pb 0.370 0.630 0.765
Pb 0.391 0.609 0.419
Pb 0.609 0.391 0.919
Pb 0.630 0.370 0.265
Se 0.009 0.991 0.835
Se 0.153 0.847 0.098
Se 0.176 0.824 0.448
Se 0.207 0.793 0.771
Se 0.479 0.521 0.089
Se 0.521 0.479 0.589
Se 0.793 0.207 0.271
Se 0.824 0.176 0.948
Se 0.847 0.153 0.598
Se 0.991 0.009 0.335

=====

Entry 6:
Crystalline SrMnBiPb2 at its relaxed geometry. Source: Alexandria, functional PBE.

Calculated values
Electronic total energy = -4.00 eV/atom
Total moment = 3.8 μB per formula unit

Lattice parameters (Å, degrees): 6.148 6.148 5.115 90.00 90.00 90.00
Fractional coordinates of all 5 atoms:
Sr 0.000 0.000 0.000
Mn 0.500 0.500 0.000
Bi 0.500 0.500 0.500
Pb 0.000 0.500 0.500
Pb 0.500 0.000 0.500